(a)
{"formula": "LaGePb3", "functional": "PBE", "state": "optimized geometry", "space_group": "No. 221", "lattice": [[-4.6672, 2.6600, 1.2900], [-2.5483, -2.3977, -4.2755], [-1.4987, -4.2069, 3.2525]], "species": ["La", "Pb", "Pb", "Pb", "Ge"], "fractional_positions": [[0.5000, 0.5000, 0.5000], [0.0000, 0.0000, 0.5000], [0.5000, 0.0000, 0.0000], [0.0000, 0.5000, 0.0000], [0.0000, 0.0000, 0.0000]]}

=====

(b)
{"formula": "LaGePb3", "functional": "PBE", "state": "optimized geometry", "space_group": "No. 221", "lattice": [[6.0774, 0.0000, 0.0000], [0.0000, 6.0774, 0.0000], [0.0000, 0.0000, 6.0774]], "species": ["Ge", "Pb", "Pb", "Pb", "La"], "fractional_positions": [[0.5000, 0.5000, 0.5000], [0.5000, 0.0000, 0.0000], [0.0000, 0.5000, 0.0000], [0.0000, 0.0000, 0.5000], [0.0000, 0.0000, 0.0000]]}

=====

Winner for stability: (a)

=====

(a)
{"formula": "La2GePb2", "functional": "PBE", "state": "optimized geometry", "space_group": "No. 127", "lattice": [[8.0535, 0.0000, 0.0000], [0.0000, 8.0535, 0.0000], [0.0000, 0.0000, 4.7877]], "species": ["Pb", "Pb", "Pb", "Pb", "Ge", "Ge", "La", "La", "La", "La"], "fractional_positions": [[0.8660, 0.6340, 0.0000], [0.6340, 0.1340, 0.0000], [0.3660, 0.8660, 0.0000], [0.1340, 0.3660, 0.0000], [0.5000, 0.5000, 0.0000], [0.0000, 0.0000, 0.0000], [0.1745, 0.6745, 0.5000], [0.6745, 0.8255, 0.5000], [0.8255, 0.3255, 0.5000], [0.3255, 0.1745, 0.5000]]}

=====

(b)
{"formula": "La2GePb2", "functional": "PBE", "state": "optimized geometry", "space_group": "No. 127", "lattice": [[-4.5589, 0.4169, 6.7752], [-3.7705, -6.9421, -2.1100], [3.4216, -2.6069, 2.4627]], "species": ["Ge", "Ge", "La", "La", "La", "La", "Pb", "Pb", "Pb", "Pb"], "fractional_positions": [[0.5000, 0.5000, 0.0000], [0.0000, 0.0000, 0.0000], [0.3284, 0.8284, 0.0000], [0.8284, 0.6716, 0.0000], [0.1716, 0.3284, 0.0000], [0.6716, 0.1716, 0.0000], [0.1370, 0.6370, 0.5000], [0.3630, 0.1370, 0.5000], [0.6370, 0.8630, 0.5000], [0.8630, 0.3630, 0.5000]]}

=====

Winner for stability: (a)

=====

(a)
{"formula": "LaGe2Pd4", "functional": "PBE", "state": "optimized geometry", "space_group": "No. 166", "lattice": [[4.3733, 0.0000, 0.0000], [2.1866, 3.7873, 0.0000], [2.1866, 1.2624, 7.9281]], "species": ["Ge", "Ge", "Pd", "Pd", "Pd", "Pd", "La"], "fractional_positions": [[0.7540, 0.7540, 0.7380], [0.2460, 0.2460, 0.2620], [0.4254, 0.4254, 0.7239], [0.1401, 0.1401, 0.5797], [0.5746, 0.5746, 0.2761], [0.8599, 0.8599, 0.4203], [0.0000, 0.0000, 0.0000]]}

=====

(b)
{"formula": "LaGe2Pd4", "functional": "PBE", "state": "optimized geometry", "space_group": "No. 62", "lattice": [[4.2956, 0.0000, 0.0000], [0.0000, 6.8136, 0.0000], [0.0000, 0.0000, 17.5783]], "species": ["Pd", "Pd", "Pd", "Pd", "Pd", "Pd", "Pd", "Pd", "Pd", "Pd", "Pd", "Pd", "Pd", "Pd", "Pd", "Pd", "La", "La", "La", "La", "Ge", "Ge", "Ge", "Ge", "Ge", "Ge", "Ge", "Ge"], "fractional_positions": [[0.7500, 0.9996, 0.0698], [0.2500, 0.2425, 0.2048], [0.7500, 0.5004, 0.5698], [0.2500, 0.6670, 0.6861], [0.7500, 0.7425, 0.2952], [0.7500, 0.8569, 0.4752], [0.2500, 0.3569, 0.0248], [0.7500, 0.1670, 0.8139], [0.2500, 0.8330, 0.1861], [0.2500, 0.4996, 0.4302], [0.7500, 0.7575, 0.7952], [0.2500, 0.2575, 0.7048], [0.2500, 0.1431, 0.5248], [0.7500, 0.3330, 0.3139], [0.7500, 0.6431, 0.9752], [0.2500, 0.0004, 0.9302], [0.7500, 0.9865, 0.6393], [0.2500, 0.4865, 0.8607], [0.7500, 0.5135, 0.1393], [0.2500, 0.0135, 0.3607], [0.7500, 0.0453, 0.2138], [0.7500, 0.2690, 0.4578], [0.2500, 0.9547, 0.7862], [0.7500, 0.4547, 0.7138], [0.7500, 0.2310, 0.9578], [0.2500, 0.5453, 0.2862], [0.2500, 0.7310, 0.5422], [0.2500, 0.7690, 0.0422]]}

=====

Winner for stability: (b)

=====

(a)
{"formula": "LaGe3Pd2", "functional": "PBE", "state": "optimized geometry", "space_group": "No. 139", "lattice": [[4.2926, 0.0000, -0.6972], [-0.1132, 4.2911, -0.6972], [-0.0690, -0.0708, 13.1386]], "species": ["La", "La", "Ge", "Ge", "Ge", "Ge", "Ge", "Ge", "Pd", "Pd", "Pd", "Pd"], "fractional_positions": [[0.1501, 0.1501, 0.3002], [0.8499, 0.8499, 0.6998], [0.9512, 0.4512, 0.9024], [0.3025, 0.3025, 0.6050], [0.4512, 0.9512, 0.9024], [0.0488, 0.5488, 0.0976], [0.5488, 0.0488, 0.0976], [0.6975, 0.6975, 0.3950], [0.4010, 0.4010, 0.8021], [0.5990, 0.5990, 0.1979], [0.7500, 0.2500, 0.5000], [0.2500, 0.7500, 0.5000]]}

=====

(b)
{"formula": "LaGe3Pd2", "functional": "PBE", "state": "optimized geometry", "space_group": "No. 63", "lattice": [[-4.8949, -3.4141, -1.6897], [-1.1858, -1.3301, 6.1228], [-3.5086, 5.2974, -0.5396]], "species": ["Pd", "Pd", "Pd", "Pd", "La", "La", "Ge", "Ge", "Ge", "Ge", "Ge", "Ge"], "fractional_positions": [[0.0000, 0.1739, 0.1739], [0.5000, 0.8261, 0.8261], [0.0000, 0.8261, 0.8261], [0.5000, 0.1739, 0.1739], [0.7500, 0.3056, 0.6944], [0.2500, 0.6944, 0.3056], [0.2500, 0.5261, 0.7758], [0.2500, 0.2242, 0.4739], [0.7500, 0.7758, 0.5261], [0.2500, 0.1398, 0.8602], [0.7500, 0.8602, 0.1398], [0.7500, 0.4739, 0.2242]]}

=====

Winner for stability: (a)

=====

(a)
{"formula": "LaGePd3", "functional": "PBE", "state": "optimized geometry", "space_group": "No. 221", "lattice": [[5.1477, 0.0000, 0.0000], [0.0000, 5.1477, 0.0000], [0.0000, 0.0000, 5.1477]], "species": ["Pd", "Pd", "Pd", "La", "Ge"], "fractional_positions": [[0.0000, 0.0000, 0.5000], [0.5000, 0.0000, 0.0000], [0.0000, 0.5000, 0.0000], [0.0000, 0.0000, 0.0000], [0.5000, 0.5000, 0.5000]]}

=====

(b)
{"formula": "LaGePd3", "functional": "PBE", "state": "optimized geometry", "space_group": "No. 107", "lattice": [[3.9464, -0.0022, 1.3624], [-0.4722, 3.9174, 1.3656], [0.0139, 0.0106, 6.3497]], "species": ["Pd", "Pd", "Pd", "Ge", "La"], "fractional_positions": [[0.6438, 0.9471, 0.4179], [0.8064, 0.6098, 0.0921], [0.1437, 0.4472, 0.4180], [0.0239, 0.8275, 0.6577], [0.3900, 0.1935, 0.9254]]}

=====

Winner for stability: (b)

=====

(a)
{"formula": "LaGePd3", "functional": "PBE", "state": "optimized geometry", "space_group": "No. 63", "lattice": [[6.1133, 0.3226, 0.0000], [2.5379, 5.5701, 0.0000], [0.0000, -0.0001, 5.9199]], "species": ["La", "La", "Ge", "Ge", "Pd", "Pd", "Pd", "Pd", "Pd", "Pd"], "fractional_positions": [[0.5374, 0.7399, 0.5524], [0.0232, 0.2258, 0.0524], [0.8680, 0.0707, 0.5524], [0.6926, 0.8950, 0.0524], [0.0609, 0.7023, 0.3024], [0.4614, 0.6639, 0.0524], [0.4997, 0.2634, 0.3024], [0.0992, 0.3018, 0.5524], [0.4997, 0.2633, 0.8024], [0.0609, 0.7023, 0.8024]]}

=====

(b)
{"formula": "LaGePd3", "functional": "PBE", "state": "optimized geometry", "space_group": "No. 221", "lattice": [[-1.2439, -0.8358, -4.5154], [-2.9068, -3.4782, 1.4446], [-3.5550, 3.1365, 0.3987]], "species": ["Pd", "Pd", "Pd", "La", "Ge"], "fractional_positions": [[0.0000, 0.5000, 0.0000], [0.5000, 0.0000, 0.0000], [0.0000, 0.0000, 0.5000], [0.5000, 0.5000, 0.5000], [0.0000, 0.0000, 0.0000]]}

=====

Winner for stability: (a)

=====

(a)
{"formula": "LaGe3Pd3", "functional": "PBE", "state": "optimized geometry", "space_group": "No. 148", "lattice": [[6.7352, 0.0000, 0.0000], [3.3676, 5.8328, 0.0000], [3.3676, 1.9443, 7.1068]], "species": ["Pd", "Pd", "Pd", "Pd", "Pd", "Pd", "Ge", "Ge", "Ge", "Ge", "Ge", "Ge", "La", "La"], "fractional_positions": [[0.5556, 0.7493, 0.6204], [0.4444, 0.2507, 0.3796], [0.9253, 0.4444, 0.3796], [0.0747, 0.5556, 0.6204], [0.7493, 0.0747, 0.6204], [0.2507, 0.9253, 0.3796], [0.1117, 0.8307, 0.7463], [0.8883, 0.1693, 0.2537], [0.3113, 0.1117, 0.7463], [0.1693, 0.6887, 0.2537], [0.6887, 0.8883, 0.2537], [0.8307, 0.3113, 0.7463], [0.3347, 0.3347, 0.9958], [0.6653, 0.6653, 0.0042]]}

=====

(b)
{"formula": "LaGe3Pd3", "functional": "PBE", "state": "optimized geometry", "space_group": "No. 223", "lattice": [[6.8172, 0.0000, 0.0000], [0.0000, 6.8172, 0.0000], [0.0000, 0.0000, 6.8172]], "species": ["Ge", "Ge", "Ge", "Ge", "Ge", "Ge", "La", "La", "Pd", "Pd", "Pd", "Pd", "Pd", "Pd"], "fractional_positions": [[0.0000, 0.2500, 0.5000], [0.5000, 0.0000, 0.7500], [0.7500, 0.5000, 0.0000], [0.0000, 0.7500, 0.5000], [0.5000, 0.0000, 0.2500], [0.2500, 0.5000, 0.0000], [0.5000, 0.5000, 0.5000], [0.0000, 0.0000, 0.0000], [0.5000, 0.2500, 0.0000], [0.0000, 0.5000, 0.2500], [0.7500, 0.0000, 0.5000], [0.5000, 0.7500, 0.0000], [0.2500, 0.0000, 0.5000], [0.0000, 0.5000, 0.7500]]}

=====

Winner for stability: (a)

=====

(a)
{"formula": "La3Ge2Pd7", "functional": "PBE", "state": "optimized geometry", "space_group": "No. 65", "lattice": [[4.0748, 0.0000, 0.0000], [0.0000, 4.3045, -0.6393], [0.0000, -0.0099, 14.7455]], "species": ["Pd", "Pd", "Pd", "Pd", "Pd", "Pd", "Pd", "La", "La", "La", "Ge", "Ge"], "fractional_positions": [[0.0000, 0.2085, 0.4169], [0.5000, 0.1309, 0.2618], [0.0000, 0.7915, 0.5831], [0.0000, 0.3747, 0.7493], [0.0000, 0.6253, 0.2507], [0.5000, 0.8691, 0.7382], [0.0000, 0.0000, 0.0000], [0.5000, 0.7002, 0.4003], [0.5000, 0.5000, 0.0000], [0.5000, 0.2998, 0.5997], [0.0000, 0.0828, 0.1656], [0.0000, 0.9172, 0.8344]]}

=====

(b)
{"formula": "La3Ge2Pd7", "functional": "PBE", "state": "optimized geometry", "space_group": "No. 139", "lattice": [[-0.7986, 4.0358, -0.7779], [-3.3321, -1.0997, -2.2842], [-5.9978, -0.8533, 12.9973]], "species": ["Ge", "Ge", "Pd", "Pd", "Pd", "Pd", "Pd", "Pd", "Pd", "La", "La", "La"], "fractional_positions": [[0.8733, 0.8733, 0.7466], [0.1267, 0.1267, 0.2534], [0.4220, 0.9220, 0.8439], [0.9220, 0.4220, 0.8439], [0.5780, 0.0780, 0.1561], [0.0780, 0.5780, 0.1561], [0.2185, 0.2185, 0.4371], [0.7815, 0.7815, 0.5629], [0.0000, 0.0000, 0.0000], [0.3262, 0.3262, 0.6523], [0.6738, 0.6738, 0.3477], [0.5000, 0.5000, 0.0000]]}

=====

Winner for stability: (b)

=====

(a)
{"formula": "LaPmGePd", "functional": "PBE", "state": "optimized geometry", "space_group": "No. 216", "lattice": [[-2.1824, 4.4711, -1.5451], [-3.7061, 2.2298, 2.9041], [1.0105, 4.4169, 2.5711]], "species": ["Ge", "Pd", "La", "Pm"], "fractional_positions": [[0.2500, 0.2500, 0.2500], [0.7500, 0.7500, 0.7500], [0.5000, 0.5000, 0.5000], [0.0000, 0.0000, 0.0000]]}

=====

(b)
{"formula": "LaPmGePd", "functional": "PBE", "state": "optimized geometry", "space_group": "No. 38", "lattice": [[-2.5420, -2.1045, -2.5738], [1.5869, -3.8289, 1.5635], [-2.6809, 1.0193, 5.2171]], "species": ["Ge", "La", "Pd", "Pm"], "fractional_positions": [[0.5745, 0.5000, 0.1489], [0.1392, 0.0000, 0.2784], [0.4219, 0.0000, 0.8438], [0.8644, 0.5000, 0.7289]]}

=====

Winner for stability: (b)

=====

(a)
{"formula": "La2Ge4Pd3Pt", "functional": "PBE", "state": "optimized geometry", "space_group": "No. 115", "lattice": [[4.3913, 0.0000, 0.0000], [0.0000, 4.3913, 0.0000], [0.0000, 0.0000, 10.2639]], "species": ["La", "La", "Pt", "Ge", "Ge", "Ge", "Ge", "Pd", "Pd", "Pd"], "fractional_positions": [[0.0000, 0.5000, 0.2494], [0.5000, 0.0000, 0.7506], [0.5000, 0.5000, 0.0000], [0.5000, 0.0000, 0.3739], [0.0000, 0.5000, 0.6261], [0.0000, 0.5000, 0.8732], [0.5000, 0.0000, 0.1268], [0.0000, 0.0000, 0.5000], [0.0000, 0.0000, 0.0000], [0.5000, 0.5000, 0.5000]]}

=====

(b)
{"formula": "La2Ge4Pd3Pt", "functional": "PBE", "state": "optimized geometry", "space_group": "No. 115", "lattice": [[4.4127, 0.0000, 0.0000], [0.0000, 4.4127, 0.0000], [0.0000, 0.0000, 10.1710]], "species": ["Pt", "Ge", "Ge", "Ge", "Ge", "Pd", "Pd", "Pd", "La", "La"], "fractional_positions": [[0.5000, 0.5000, 0.5000], [0.5000, 0.0000, 0.6280], [0.0000, 0.5000, 0.3720], [0.0000, 0.0000, 0.0000], [0.5000, 0.5000, 0.0000], [0.0000, 0.0000, 0.5000], [0.5000, 0.0000, 0.8730], [0.0000, 0.5000, 0.1270], [0.0000, 0.5000, 0.7528], [0.5000, 0.0000, 0.2472]]}

=====

Winner for stability: (b)

=====

(a)
{"formula": "LaPm2Ge", "functional": "PBE", "state": "optimized geometry", "space_group": "No. 123", "lattice": [[4.7324, 0.0000, 0.0000], [0.0000, 4.8573, 0.0000], [0.0000, 0.0000, 4.8573]], "species": ["Pm", "Pm", "La", "Ge"], "fractional_positions": [[0.0000, 0.5000, 0.0000], [0.0000, 0.0000, 0.5000], [0.5000, 0.5000, 0.5000], [0.5000, 0.0000, 0.0000]]}

=====

(b)
{"formula": "LaPm2Ge", "functional": "PBE", "state": "optimized geometry", "space_group": "No. 63", "lattice": [[-1.0043, 5.2206, -0.3955], [-0.6162, -3.3133, -6.2426], [-6.5931, -1.1720, 1.2728]], "species": ["Pm", "Pm", "Pm", "Pm", "Ge", "Ge", "La", "La"], "fractional_positions": [[0.6407, 0.2814, 0.0188], [0.6407, 0.2814, 0.4812], [0.3593, 0.7186, 0.5188], [0.3593, 0.7186, 0.9812], [0.8269, 0.6538, 0.7500], [0.1731, 0.3462, 0.2500], [0.0583, 0.1165, 0.7500], [0.9417, 0.8835, 0.2500]]}

=====

Winner for stability: (b)